The following is a PBE calculation of crystalline CeAlCl at its relaxed geometry, from the Alexandria database.

```
CeAlCl
1.0
3.796 0.000 0.000
0.000 4.061 0.000
0.000 0.000 9.275
Ce Al Cl
2 2 2
direct
0.250 0.250 0.219
0.750 0.750 0.781
0.250 0.750 0.497
0.750 0.250 0.503
0.250 0.250 0.877
0.750 0.750 0.123
```

* space-group type: Pmmn (59)
* relative energy among the computed polymorphs: 194 meV/atom
* uncorrected formation energy: -2.9 eV per formula unit



The following is a PBE calculation of crystalline CeAl2Cl8 at its relaxed geometry, from the Alexandria database.

```
CeAl2Cl8
1.0
6.743 -4.331 0.000
6.743 4.331 0.000
-1.219 0.000 6.565
Ce Al Cl
1 2 8
direct
0.000 0.000 0.000
0.195 0.195 0.661
0.805 0.805 0.339
0.082 0.693 0.240
0.177 0.177 0.325
0.307 0.918 0.760
0.351 0.351 0.785
0.649 0.649 0.215
0.693 0.082 0.240
0.823 0.823 0.675
0.918 0.307 0.760
```

* space-group type: C2/m (12)
* uncorrected formation energy: -17.5 eV per formula unit



The following is a PBE calculation of crystalline CeAlCl at its relaxed geometry, from the Alexandria database.

```
CeAlCl
1.0
3.708 -2.140 0.000
3.708 2.140 0.000
-2.502 0.000 10.559
Ce Al Cl
2 2 2
direct
0.069 0.069 0.204
0.931 0.931 0.796
0.341 0.341 0.021
0.659 0.659 0.979
0.214 0.214 0.648
0.786 0.786 0.352
```

* space-group type: C2/m (12)
* relative energy among the computed polymorphs: 0 meV/atom
* uncorrected formation energy: -3.5 eV per formula unit



The following is a PBE calculation of crystalline Li2CeAlCl8 at its relaxed geometry, from the Alexandria database.

```
Li2CeAlCl8
1.0
6.127 0.000 0.000
0.000 7.788 0.000
-0.542 0.000 6.253
Li Ce Al Cl
2 1 1 8
direct
0.000 0.236 0.000
0.000 0.764 0.000
0.500 0.500 0.500
0.500 0.000 0.500
0.214 0.500 0.151
0.239 0.000 0.201
0.295 0.213 0.663
0.295 0.787 0.663
0.705 0.213 0.337
0.705 0.787 0.337
0.761 0.000 0.799
0.786 0.500 0.849
```

* space-group type: P2/m (10)
* uncorrected formation energy: -21.3 eV per formula unit



The following is a PBE calculation of crystalline Na2CeAlCl8 at its relaxed geometry, from the Alexandria database.

```
Na2CeAlCl8
1.0
6.308 0.000 0.000
0.000 8.021 0.000
-0.377 0.000 6.444
Na Ce Al Cl
2 1 1 8
direct
0.000 0.233 0.000
0.000 0.767 0.000
0.500 0.500 0.500
0.500 0.000 0.500
0.227 0.500 0.164
0.268 0.000 0.212
0.294 0.215 0.653
0.294 0.785 0.653
0.706 0.215 0.347
0.706 0.785 0.347
0.732 0.000 0.788
0.773 0.500 0.836
```

* space-group type: P2/m (10)
* uncorrected formation energy: -21.5 eV per formula unit



The following is a PBE calculation of crystalline CeAlCo2 at its relaxed geometry, from the Alexandria database.

```
CeAlCo2
1.0
5.114 0.000 0.000
0.000 4.932 0.000
0.000 0.000 11.631
Ce Al Co
4 4 8
direct
0.250 0.000 0.062
0.250 0.500 0.376
0.750 0.000 0.938
0.750 0.500 0.624
0.250 0.000 0.789
0.250 0.500 0.822
0.750 0.000 0.211
0.750 0.500 0.178
0.000 0.000 0.500
0.000 0.500 0.000
0.250 0.267 0.626
0.250 0.733 0.626
0.500 0.000 0.500
0.500 0.500 0.000
0.750 0.267 0.374
0.750 0.733 0.374
```

* ΔE_f: -0.08 eV/f.u.
* space-group type: Pmma (51)



The following is a PBE calculation of crystalline CeAlCo4 at its relaxed geometry, from the Alexandria database.

```
CeAlCo4
1.0
0.000 3.463 3.463
3.463 0.000 3.463
3.463 3.463 0.000
Ce Al Co
1 1 4
direct
0.000 0.000 0.000
0.250 0.250 0.250
0.129 0.624 0.624
0.624 0.129 0.624
0.624 0.624 0.129
0.624 0.624 0.624
```

* ΔE_f: -1.26 eV/f.u.
* space-group type: F-43m (216)
* relative energy among the computed polymorphs: 58 meV/atom



The following is a PBE calculation of crystalline Ce2AlCo at its relaxed geometry, from the Alexandria database.

```
Ce2AlCo
1.0
3.556 0.000 0.000
0.000 3.556 0.000
0.000 0.000 6.677
Ce Al Co
2 1 1
direct
0.000 0.000 0.211
0.000 0.000 0.789
0.500 0.500 0.500
0.500 0.500 0.000
```

* ΔE_f: -0.78 eV/f.u.
* space-group type: P4/mmm (123)
* relative energy among the computed polymorphs: 46 meV/atom